Record 1
## DyTmGaAu (PBE)

Data for a relaxed DyTmGaAu crystal.

abc: 5.064 5.064 5.064
angles: 60.00 60.00 60.00
Positions (direct):
Dy1 0.000 0.000 0.000
Ga1 0.250 0.250 0.250
Tm1 0.500 0.500 0.500
Au1 0.750 0.750 0.750

Summary:
Total magnetization, μB/cell: 0.00
DOS at the Fermi energy, states/eV/cell: 2.39
Distance to the lowest polymorph of the same formula, meV/atom: 25
Space-group type: No. 216

---

Record 2
## DyZnGaAu2 (PBE)

Data for a relaxed DyZnGaAu2 crystal.

abc: 5.560 5.494 7.284
angles: 112.16 90.00 90.00
Positions (direct):
Au1 0.288 0.352 0.704
Ga1 0.000 0.000 0.000
Dy1 0.231 0.750 0.500
Zn1 0.500 0.250 0.000
Dy2 0.769 0.250 0.500
Ga2 0.000 0.500 0.000
Au2 0.712 0.648 0.296
Au3 0.712 0.852 0.704
Zn2 0.500 0.750 0.000
Au4 0.288 0.148 0.296

Summary:
Total magnetization, μB/cell: 0.00
DOS at the Fermi energy, states/eV/cell: 3.93
E, eV per cell: -35.656
Space-group type: No. 67

---

Record 3
## Dy2Zn4Ga3Au (PBE)

Data for a relaxed Dy2Zn4Ga3Au crystal.

abc: 4.172 4.172 10.746
angles: 90.00 90.00 90.00
Positions (direct):
Zn1 0.000 0.500 0.358
Zn2 0.500 0.000 0.642
Dy1 0.000 0.500 0.754
Zn3 0.000 0.000 0.000
Zn4 0.500 0.500 0.000
Ga1 0.500 0.000 0.864
Ga2 0.000 0.000 0.500
Dy2 0.500 0.000 0.246
Ga3 0.000 0.500 0.136
Au1 0.500 0.500 0.500

Summary:
Total magnetization, μB/cell: 0.00
DOS at the Fermi energy, states/eV/cell: 5.13
E, eV per cell: -30.965
Space-group type: No. 115

---

Record 4
## Dy2ZnGa3Au4 (PBE)

Data for a relaxed Dy2ZnGa3Au4 crystal.

abc: 4.328 4.328 10.692
angles: 90.00 90.00 90.00
Positions (direct):
Au1 0.500 0.500 0.000
Ga1 0.000 0.000 0.500
Au2 0.500 0.000 0.635
Dy1 0.000 0.500 0.749
Ga2 0.000 0.500 0.134
Ga3 0.500 0.000 0.866
Au3 0.000 0.500 0.365
Au4 0.000 0.000 0.000
Zn1 0.500 0.500 0.500
Dy2 0.500 0.000 0.251

Summary:
Total magnetization, μB/cell: 0.00
DOS at the Fermi energy, states/eV/cell: 5.49
E, eV per cell: -38.335
Space-group type: No. 115

---

Record 5
## DyZn2GaAu2 (PBE)

Data for a relaxed DyZn2GaAu2 crystal.

abc: 4.612 4.612 6.160
angles: 90.00 90.00 120.00
Positions (direct):
Au1 0.333 0.667 0.252
Zn1 0.667 0.333 0.276
Dy1 0.000 0.000 0.000
Au2 0.667 0.333 0.748
Zn2 0.333 0.667 0.724
Ga1 0.000 0.000 0.500

Summary:
Total magnetization, μB/cell: 0.00
DOS at the Fermi energy, states/eV/cell: 2.83
E, eV per cell: -19.434
Space-group type: No. 164

---

Record 6
## Dy2Zn3Ga4Au (PBE)

Data for a relaxed Dy2Zn3Ga4Au crystal.

abc: 4.194 4.194 10.672
angles: 90.00 90.00 90.00
Positions (direct):
Dy1 0.500 0.000 0.245
Dy2 0.000 0.500 0.755
Ga1 0.000 0.500 0.359
Zn1 0.500 0.000 0.865
Zn2 0.000 0.000 0.500
Au1 0.500 0.500 0.500
Ga2 0.500 0.500 0.000
Zn3 0.000 0.500 0.135
Ga3 0.000 0.000 0.000
Ga4 0.500 0.000 0.641

Summary:
Total magnetization, μB/cell: 0.00
DOS at the Fermi energy, states/eV/cell: 3.90
E, eV per cell: -32.985
Space-group type: No. 115

---

Record 7
## DyZnGaAu3 (PBE)

Data for a relaxed DyZnGaAu3 crystal.

abc: 5.957 6.732 6.992
angles: 118.78 90.00 90.00
Positions (direct):
Au1 0.000 0.287 0.000
Au2 0.250 0.158 0.317
Ga1 0.750 0.638 0.276
Dy1 0.250 0.694 0.388
Ga2 0.250 0.362 0.724
Dy2 0.750 0.306 0.612
Au3 0.000 0.713 0.000
Zn1 0.750 0.068 0.137
Au4 0.750 0.842 0.683
Zn2 0.250 0.932 0.863
Au5 0.500 0.713 0.000
Au6 0.500 0.287 0.000

Summary:
Total magnetization, μB/cell: 0.00
DOS at the Fermi energy, states/eV/cell: 5.33
E, eV per cell: -41.540
Space-group type: No. 63

---

Record 8
## DyZn2GaAu5 (PBE)

Data for a relaxed DyZn2GaAu5 crystal.

abc: 4.781 5.734 7.876
angles: 111.35 107.67 90.00
Positions (direct):
Au1 0.347 0.586 0.693
Zn1 0.187 0.187 0.374
Ga1 0.500 0.000 0.000
Au2 0.000 0.000 0.000
Au3 0.347 0.107 0.693
Dy1 0.000 0.500 0.000
Au4 0.653 0.414 0.307
Zn2 0.813 0.813 0.626
Au5 0.653 0.893 0.307

Summary:
Total magnetization, μB/cell: 0.00
DOS at the Fermi energy, states/eV/cell: 4.32
E, eV per cell: -28.247
Space-group type: No. 71

---

| no. | V (Å³/cell) |
| --- | --- |
| 1 | 91.8 |
| 2 | 206.1 |
| 3 | 187.0 |
| 4 | 200.3 |
| 5 | 113.5 |
| 6 | 187.7 |
| 7 | 245.8 |
| 8 | 190.1 |